A plane-wave DFT calculation with PBE was carried out for a geometry-optimized ReBrO2 structure.

Cell: 5.6800 5.6800 5.6800 Å, 90.00 90.00 90.00°
Fractional positions:
Re (0.0000, 0.0000, 0.0000)
Re (0.0000, 0.5000, 0.5000)
Re (0.5000, 0.0000, 0.5000)
Re (0.5000, 0.5000, 0.0000)
Br (0.0000, 0.0000, 0.5000)
Br (0.0000, 0.5000, 0.0000)
Br (0.5000, 0.0000, 0.0000)
Br (0.5000, 0.5000, 0.5000)
O (0.2500, 0.2500, 0.2500)
O (0.2500, 0.2500, 0.7500)
O (0.2500, 0.7500, 0.2500)
O (0.2500, 0.7500, 0.7500)
O (0.7500, 0.2500, 0.2500)
O (0.7500, 0.2500, 0.7500)
O (0.7500, 0.7500, 0.2500)
O (0.7500, 0.7500, 0.7500)

Output
- Energy above the most stable polymorph in this dataset: 570 kJ/mol of formula units
- DOS at the Fermi energy: 10.923 states/eV/cell
- M_tot: 0.00 μB/cell
- Formation energy from raw total energies: 3.4 eV/f.u.